{
  "formula": "LiPrGaRh",
  "functional": "PBE-GGA",
  "state": "relaxed",
  "m_tot_mub_per_cell": 0.0,
  "spacegroup": "F-43m (216)",
  "formation_enthalpy_0k_mev_per_atom": -458,
  "rho_g_cm3": 7.078,
  "cell": [[-1.160, -4.406, 1.300], [-1.704, -3.044, -3.205], [2.643, -3.664, -1.426]],
  "species": ["Li", "Pr", "Ga", "Rh"],
  "fractional_positions": [[0.500, 0.500, 0.500], [0.750, 0.750, 0.750], [0.250, 0.250, 0.250], [0.000, 0.000, 0.000]]
}

=====

{
  "formula": "NaCa3Te",
  "functional": "PBE-GGA",
  "state": "relaxed",
  "m_tot_mub_per_cell": 0.0,
  "spacegroup": "Pm-3m (221)",
  "rho_g_cm3": 2.200,
  "polymorph_energy_mev_per_atom": 531,
  "cell": [[5.891, 0.000, 0.000], [0.000, 5.891, 0.000], [0.000, 0.000, 5.891]],
  "species": ["Ca", "Na", "Ca", "Ca", "Te"],
  "fractional_positions": [[0.000, 0.000, 0.500], [0.000, 0.000, 0.000], [0.000, 0.500, 0.000], [0.500, 0.000, 0.000], [0.500, 0.500, 0.500]]
}

=====

{
  "formula": "InAgAs2",
  "functional": "PBE-GGA",
  "state": "relaxed",
  "m_tot_mub_per_cell": 0.0,
  "spacegroup": "I-42d (122)",
  "formation_enthalpy_0k_mev_per_atom": 163,
  "rho_g_cm3": 5.604,
  "cell": [[-0.261, 3.853, -4.698], [3.023, -3.996, -3.446], [-3.792, -2.509, -5.784]],
  "species": ["Ag", "As", "In", "In", "As", "As", "Ag", "As"],
  "fractional_positions": [[0.500, 0.500, 0.000], [0.607, 0.125, 0.250], [0.000, 0.000, 0.000], [0.750, 0.250, 0.500], [0.375, 0.393, 0.750], [0.875, 0.857, 0.750], [0.250, 0.750, 0.500], [0.143, 0.625, 0.250]]
}

=====

{
  "formula": "Er3Si5Pt6",
  "functional": "PBE-GGA",
  "state": "relaxed",
  "m_tot_mub_per_cell": 0.0,
  "spacegroup": "Pmmn (59)",
  "e_tot_ev_per_cell": -183.3,
  "rho_g_cm3": 12.516,
  "cell": [[4.044, 0.000, 0.000], [0.000, 9.460, 0.000], [0.000, 0.000, 12.572]],
  "species": ["Pt", "Si", "Er", "Pt", "Pt", "Si", "Pt", "Si", "Si", "Pt", "Pt", "Pt", "Pt", "Er", "Si", "Pt", "Pt", "Er", "Si", "Si", "Pt", "Si", "Pt", "Er", "Si", "Si", "Er", "Er"],
  "fractional_positions": [[0.000, 0.011, 0.833], [0.500, 0.151, 0.166], [0.500, 0.756, 0.169], [0.000, 0.478, 0.500], [0.500, 0.400, 0.197], [0.000, 0.849, 0.666], [0.000, 0.600, 0.697], [0.000, 0.544, 0.114], [0.000, 0.849, 0.334], [0.500, 0.400, 0.803], [0.500, 0.999, 0.000], [0.000, 0.600, 0.303], [0.000, 0.001, 0.500], [0.000, 0.244, 0.331], [0.000, 0.835, 0.000], [0.500, 0.989, 0.667], [0.500, 0.989, 0.333], [0.000, 0.244, 0.669], [0.500, 0.165, 0.500], [0.500, 0.151, 0.834], [0.000, 0.011, 0.167], [0.500, 0.456, 0.386], [0.500, 0.522, 0.000], [0.500, 0.756, 0.831], [0.000, 0.544, 0.886], [0.500, 0.456, 0.614], [0.500, 0.738, 0.500], [0.000, 0.262, 0.000]]
}

=====

{
  "formula": "Ba5UAs6",
  "functional": "PBE-GGA",
  "state": "relaxed",
  "m_tot_mub_per_cell": 0.0,
  "spacegroup": "C2/m (12)",
  "formation_enthalpy_0k_mev_per_atom": -925,
  "rho_g_cm3": 5.432,
  "cell": [[7.769, -1.151, -1.345], [-4.711, 7.400, -2.696], [-0.016, 0.036, 8.053]],
  "species": ["Ba", "As", "As", "Ba", "Ba", "As", "Ba", "As", "As", "U", "Ba", "As"],
  "fractional_positions": [[0.000, 0.500, 0.000], [0.575, 0.793, 0.000], [0.854, 0.072, 0.715], [0.334, 0.334, 0.669], [0.673, 0.173, 0.345], [0.146, 0.928, 0.285], [0.327, 0.827, 0.655], [0.425, 0.207, 0.000], [0.139, 0.357, 0.285], [0.000, 0.000, 0.000], [0.666, 0.666, 0.331], [0.861, 0.643, 0.715]]
}

=====

{
  "formula": "Zn2Ag3Pd4",
  "functional": "PBE-GGA",
  "state": "relaxed",
  "m_tot_mub_per_cell": 0.0,
  "spacegroup": "P-1 (2)",
  "formation_enthalpy_0k_mev_per_atom": -222,
  "rho_g_cm3": 10.241,
  "cell": [[-0.305, 3.949, -0.391], [-0.333, 2.383, 4.101], [8.180, 0.889, 2.335]],
  "species": ["Zn", "Pd", "Ag", "Ag", "Pd", "Zn", "Ag", "Pd", "Pd"],
  "fractional_positions": [[0.331, 0.338, 0.787], [0.331, 0.337, 0.115], [0.336, 0.328, 0.445], [0.000, 0.000, 0.000], [0.669, 0.663, 0.885], [0.669, 0.662, 0.213], [0.664, 0.672, 0.555], [0.006, 0.988, 0.326], [0.994, 0.012, 0.674]]
}